1.
Material: GdScZnCd
Method: DFT, PBE
State: optimized geometry

Summary:
Density of states at the Fermi level   3.38 states/eV/f.u.
E   -5.946 eV per atom
Formation enthalpy at 0 K   -0.30 eV/atom
Symmetry   F-43m, No. 216

Geometry as POSCAR:
```
GdScZnCd
1.0
-1.184 1.695 -4.626
-1.786 -3.207 -3.493
-4.852 0.264 -1.437
Sc Cd Zn Gd
1 1 1 1
direct
0.000 0.000 0.000 Sc
0.750 0.750 0.750 Cd
0.250 0.250 0.250 Zn
0.500 0.500 0.500 Gd
```

2.
Material: Y2ScMo2
Method: DFT, PBE
State: optimized geometry

Summary:
Density of states at the Fermi level   8.12 states/eV/f.u.
E   -7.867 eV per atom
Formation enthalpy at 0 K   0.32 eV/atom
Symmetry   P4/mbm, No. 127

Geometry as POSCAR:
```
Y2ScMo2
1.0
7.440 0.000 0.000
0.000 7.440 0.000
0.000 0.000 4.358
Y Mo Sc
4 4 2
direct
0.323 0.177 0.500 Y
0.823 0.323 0.500 Y
0.677 0.823 0.500 Y
0.177 0.677 0.500 Y
0.611 0.111 0.000 Mo
0.389 0.889 0.000 Mo
0.111 0.389 0.000 Mo
0.889 0.611 0.000 Mo
0.000 0.000 0.000 Sc
0.500 0.500 0.000 Sc
```

3.
Material: LiDyIn4
Method: DFT, PBE
State: optimized geometry

Summary:
Density of states at the Fermi level   3.21 states/eV/f.u.
E   -3.119 eV per atom
Formation enthalpy at 0 K   -0.21 eV/atom
Symmetry   C2/m, No. 12

Geometry as POSCAR:
```
LiDyIn4
1.0
3.369 0.000 0.974
2.063 6.341 -0.822
-0.364 -2.919 7.569
In Li Dy
4 1 1
direct
0.802 0.538 0.857 In
0.198 0.462 0.143 In
0.658 0.011 0.672 In
0.342 0.989 0.328 In
0.000 0.000 0.000 Li
0.500 0.500 0.500 Dy
```